Density functional theory data (GGA-PBE) for crystalline Mg2ReBr at its relaxed geometry.

Lattice parameters (Å, degrees): 5.4127 5.4127 5.0834 114.43 114.43 33.28
Atoms (fractional coordinates):
Mg  0.2459  0.2459  0.2505
Mg  0.7541  0.7541  0.7495
Re  0.0000  0.0000  0.5000
Br  0.5000  0.5000  0.0000

## Properties
Space-group type ... C2/m (12)
Fermi-level density of states ... 0.55 states/eV/atom
E_form (uncorrected) ... 0.637 eV/atom
Magnetic moment ... 0.000 μB/atom



Density functional theory data (GGA-PBE) for crystalline Mg2ReBr at its relaxed geometry.

Lattice parameters (Å, degrees): 10.4211 10.4211 10.4211 16.85 16.85 16.85
Atoms (fractional coordinates):
Mg  0.0000  0.0000  0.0000
Mg  0.2424  0.2424  0.2424
Re  0.5028  0.5028  0.5028
Br  0.7734  0.7734  0.7734

## Properties
Space-group type ... R3m (160)
Fermi-level density of states ... 0.68 states/eV/atom
E_form (uncorrected) ... 0.444 eV/atom
Magnetic moment ... 0.000 μB/atom



Density functional theory data (GGA-PBE) for crystalline Mg2ReBr at its relaxed geometry.

Lattice parameters (Å, degrees): 8.7093 8.7093 8.7093 21.26 21.26 21.26
Atoms (fractional coordinates):
Mg  0.2473  0.2473  0.2473
Mg  0.7527  0.7527  0.7527
Re  0.5000  0.5000  0.5000
Br  0.0000  0.0000  0.0000

## Properties
Space-group type ... R-3m (166)
Fermi-level density of states ... 0.55 states/eV/atom
E_form (uncorrected) ... 0.151 eV/atom
Magnetic moment ... 0.218 μB/atom



Density functional theory data (GGA-PBE) for crystalline Mg2ReBr at its relaxed geometry.

Lattice parameters (Å, degrees): 5.7032 5.7032 5.7032 139.49 139.49 58.62
Atoms (fractional coordinates):
Mg  0.0000  0.0000  0.0000
Mg  0.7500  0.2500  0.5000
Re  0.2500  0.7500  0.5000
Br  0.5000  0.5000  0.0000

## Properties
Space-group type ... I-4m2 (119)
Fermi-level density of states ... 0.76 states/eV/atom
E_form (uncorrected) ... 0.736 eV/atom
Magnetic moment ... 0.294 μB/atom



Density functional theory data (GGA-PBE) for crystalline Mg2ReBr at its relaxed geometry.

Lattice parameters (Å, degrees): 4.7764 4.7764 4.7764 60.00 60.00 60.00
Atoms (fractional coordinates):
Mg  0.0000  0.0000  0.0000
Mg  0.2500  0.2500  0.2500
Re  0.5000  0.5000  0.5000
Br  0.7500  0.7500  0.7500

## Properties
Space-group type ... F-43m (216)
Fermi-level density of states ... 0.64 states/eV/atom
E_form (uncorrected) ... 0.892 eV/atom
Magnetic moment ... 0.468 μB/atom



Density functional theory data (GGA-PBE) for crystalline MgRe3Br at its relaxed geometry.

Lattice parameters (Å, degrees): 4.6085 4.6085 4.6085 90.00 90.00 90.00
Atoms (fractional coordinates):
Mg  0.0000  0.0000  0.0000
Re  0.0000  0.0000  0.5000
Re  0.0000  0.5000  0.0000
Re  0.5000  0.0000  0.0000
Br  0.5000  0.5000  0.5000

## Properties
Space-group type ... Pm-3m (221)
Fermi-level density of states ... 1.55 states/eV/atom
E_form (uncorrected) ... 3.018 eV/atom
Magnetic moment ... 0.001 μB/atom



Density functional theory data (GGA-PBE) for crystalline Mg4ReBr at its relaxed geometry.

Lattice parameters (Å, degrees): 5.5492 5.5492 5.5492 60.00 60.00 60.00
Atoms (fractional coordinates):
Mg  0.1230  0.1230  0.1230
Mg  0.1230  0.1230  0.6310
Mg  0.1230  0.6310  0.1230
Mg  0.6310  0.1230  0.1230
Re  0.7500  0.7500  0.7500
Br  0.5000  0.5000  0.5000

## Properties
Space-group type ... F-43m (216)
Fermi-level density of states ... 0.09 states/eV/atom
E_form (uncorrected) ... 0.642 eV/atom
Magnetic moment ... 0.000 μB/atom



Density functional theory data (GGA-PBE) for crystalline Mg2ReBr at its relaxed geometry.

Lattice parameters (Å, degrees): 6.0741 6.0741 6.0741 103.92 103.92 121.25
Atoms (fractional coordinates):
Mg  0.1173  0.6250  0.9923
Mg  0.3750  0.3673  0.4923
Mg  0.6327  0.1250  0.0077
Mg  0.8750  0.8827  0.5077
Re  0.2500  0.7500  0.5000
Re  0.5000  0.5000  0.0000
Br  0.0000  0.0000  0.0000
Br  0.7500  0.2500  0.5000

## Properties
Space-group type ... I-42d (122)
Fermi-level density of states ... 0.93 states/eV/atom
E_form (uncorrected) ... 0.819 eV/atom
Magnetic moment ... 0.512 μB/atom



Density functional theory data (GGA-PBE) for crystalline Mg2ReBr at its relaxed geometry.

Lattice parameters (Å, degrees): 5.2942 5.2942 5.2942 134.14 134.14 66.87
Atoms (fractional coordinates):
Mg  0.2500  0.7500  0.5000
Mg  0.7500  0.2500  0.5000
Re  0.0000  0.0000  0.0000
Br  0.5000  0.5000  0.0000

## Properties
Space-group type ... I4/mmm (139)
Fermi-level density of states ... 0.80 states/eV/atom
E_form (uncorrected) ... 0.782 eV/atom
Magnetic moment ... 0.376 μB/atom



Density functional theory data (GGA-PBE) for crystalline Mg2ReBr at its relaxed geometry.

Lattice parameters (Å, degrees): 3.0974 3.0974 8.5194 90.00 90.00 90.00
Atoms (fractional coordinates):
Mg  0.0000  0.0000  0.0000
Mg  0.5000  0.5000  0.2731
Re  0.0000  0.0000  0.4886
Br  0.5000  0.5000  0.6683

## Properties
Space-group type ... P4mm (99)
Fermi-level density of states ... 0.48 states/eV/atom
E_form (uncorrected) ... 0.574 eV/atom
Magnetic moment ... 0.000 μB/atom



Density functional theory data (GGA-PBE) for crystalline Mg3ReBr at its relaxed geometry.

Lattice parameters (Å, degrees): 5.3196 5.3196 5.3196 90.00 90.00 90.00
Atoms (fractional coordinates):
Mg  0.0000  0.0000  0.5000
Mg  0.0000  0.5000  0.0000
Mg  0.5000  0.0000  0.0000
Re  0.0000  0.0000  0.0000
Br  0.5000  0.5000  0.5000

## Properties
Space-group type ... Pm-3m (221)
Fermi-level density of states ... 1.39 states/eV/atom
E_form (uncorrected) ... 0.827 eV/atom
Magnetic moment ... 0.554 μB/atom



Density functional theory data (GGA-PBE) for crystalline Mg3ReBr at its relaxed geometry.

Lattice parameters (Å, degrees): 4.8508 4.8508 4.8508 90.00 90.00 90.00
Atoms (fractional coordinates):
Mg  0.0000  0.0000  0.5000
Mg  0.0000  0.5000  0.0000
Mg  0.5000  0.0000  0.0000
Re  0.5000  0.5000  0.5000
Br  0.0000  0.0000  0.0000

## Properties
Space-group type ... Pm-3m (221)
Fermi-level density of states ... 0.60 states/eV/atom
E_form (uncorrected) ... 1.163 eV/atom
Magnetic moment ... 0.000 μB/atom



Density functional theory data (GGA-PBE) for crystalline Mg2ReBr at its relaxed geometry.

Lattice parameters (Å, degrees): 5.0728 5.0728 3.0175 90.00 90.00 90.00
Atoms (fractional coordinates):
Mg  0.0000  0.5000  0.0000
Mg  0.5000  0.0000  0.0000
Re  0.0000  0.0000  0.5000
Br  0.5000  0.5000  0.5000

## Properties
Space-group type ... P4/mmm (123)
Fermi-level density of states ... 0.83 states/eV/atom
E_form (uncorrected) ... 0.404 eV/atom
Magnetic moment ... 0.369 μB/atom



Density functional theory data (GGA-PBE) for crystalline Mg2ReBr at its relaxed geometry.

Lattice parameters (Å, degrees): 3.0705 3.0705 8.4135 90.00 90.00 106.57
Atoms (fractional coordinates):
Mg  0.0000  0.0000  0.2349
Mg  0.0000  0.0000  0.7651
Re  0.5000  0.5000  0.0000
Br  0.5000  0.5000  0.5000

## Properties
Space-group type ... Cmmm (65)
Fermi-level density of states ... 0.33 states/eV/atom
E_form (uncorrected) ... 0.147 eV/atom
Magnetic moment ... 0.000 μB/atom



Density functional theory data (GGA-PBE) for crystalline MgReRhBr2 at its relaxed geometry.

Lattice parameters (Å, degrees): 5.0373 5.0373 5.1063 90.00 90.00 90.00
Atoms (fractional coordinates):
Mg  0.0000  0.0000  0.0000
Re  0.5000  0.5000  0.0000
Rh  0.0000  0.0000  0.5000
Br  0.0000  0.5000  0.5000
Br  0.5000  0.0000  0.5000

## Properties
Space-group type ... P4/mmm (123)
Fermi-level density of states ... 0.68 states/eV/atom
E_form (uncorrected) ... 1.175 eV/atom
Magnetic moment ... 0.966 μB/atom



Density functional theory data (GGA-PBE) for crystalline MgScRe2Br at its relaxed geometry.

Lattice parameters (Å, degrees): 4.6571 4.6571 4.7128 90.00 90.00 90.00
Atoms (fractional coordinates):
Mg  0.0000  0.0000  0.0000
Sc  0.5000  0.5000  0.0000
Re  0.0000  0.5000  0.5000
Re  0.5000  0.0000  0.5000
Br  0.0000  0.0000  0.5000

## Properties
Space-group type ... P4/mmm (123)
Fermi-level density of states ... 1.38 states/eV/atom
E_form (uncorrected) ... 1.456 eV/atom
Magnetic moment ... 0.000 μB/atom



Density functional theory data (GGA-PBE) for crystalline MgReSe2Br at its relaxed geometry.

Lattice parameters (Å, degrees): 4.8364 4.8364 5.4003 90.00 90.00 90.00
Atoms (fractional coordinates):
Mg  0.0000  0.0000  0.0000
Re  0.5000  0.5000  0.5000
Se  0.0000  0.5000  0.5000
Se  0.5000  0.0000  0.5000
Br  0.5000  0.5000  0.0000

## Properties
Space-group type ... P4/mmm (123)
Fermi-level density of states ... 0.71 states/eV/atom
E_form (uncorrected) ... 0.229 eV/atom
Magnetic moment ... 0.000 μB/atom



Density functional theory data (GGA-PBE) for crystalline MgReSeBr2 at its relaxed geometry.

Lattice parameters (Å, degrees): 5.2748 5.2748 4.7469 90.00 90.00 90.00
Atoms (fractional coordinates):
Mg  0.0000  0.0000  0.0000
Re  0.5000  0.5000  0.5000
Se  0.5000  0.5000  0.0000
Br  0.0000  0.5000  0.5000
Br  0.5000  0.0000  0.5000

## Properties
Space-group type ... P4/mmm (123)
Fermi-level density of states ... 0.84 states/eV/atom
E_form (uncorrected) ... 0.276 eV/atom
Magnetic moment ... 0.133 μB/atom



Density functional theory data (GGA-PBE) for crystalline MgReSe2Br at its relaxed geometry.

Lattice parameters (Å, degrees): 5.2907 5.2907 4.8747 90.00 90.00 90.00
Atoms (fractional coordinates):
Mg  0.0000  0.0000  0.0000
Re  0.5000  0.5000  0.0000
Se  0.0000  0.5000  0.5000
Se  0.5000  0.0000  0.5000
Br  0.0000  0.0000  0.5000

## Properties
Space-group type ... P4/mmm (123)
Fermi-level density of states ... 0.65 states/eV/atom
E_form (uncorrected) ... 1.490 eV/atom
Magnetic moment ... 0.892 μB/atom



Density functional theory data (GGA-PBE) for crystalline MgZrReBr2 at its relaxed geometry.

Lattice parameters (Å, degrees): 5.1227 5.1227 5.1663 90.00 90.00 90.00
Atoms (fractional coordinates):
Mg  0.0000  0.0000  0.0000
Zr  0.5000  0.5000  0.0000
Re  0.5000  0.5000  0.5000
Br  0.0000  0.5000  0.5000
Br  0.5000  0.0000  0.5000

## Properties
Space-group type ... P4/mmm (123)
Fermi-level density of states ... 1.15 states/eV/atom
E_form (uncorrected) ... 0.740 eV/atom
Magnetic moment ... 0.000 μB/atom



Density functional theory data (GGA-PBE) for crystalline MgRh2Br at its relaxed geometry.

Lattice parameters (Å, degrees): 4.9760 4.9760 4.7109 95.27 95.27 35.40
Atoms (fractional coordinates):
Mg  0.0000  0.0000  0.0000
Rh  0.2739  0.2739  0.7717
Rh  0.7261  0.7261  0.2283
Br  0.5000  0.5000  0.5000

## Properties
Space-group type ... C2/m (12)
Fermi-level density of states ... 0.84 states/eV/atom
E_form (uncorrected) ... 0.057 eV/atom
Magnetic moment ... 0.000 μB/atom



Density functional theory data (GGA-PBE) for crystalline MgRh2Br at its relaxed geometry.

Lattice parameters (Å, degrees): 3.0048 3.0048 8.6946 90.00 90.00 119.85
Atoms (fractional coordinates):
Mg  0.0000  0.0000  0.0000
Rh  0.5000  0.5000  0.2482
Rh  0.5000  0.5000  0.7518
Br  0.0000  0.0000  0.5000

## Properties
Space-group type ... Cmmm (65)
Fermi-level density of states ... 0.85 states/eV/atom
E_form (uncorrected) ... 0.270 eV/atom
Magnetic moment ... 0.000 μB/atom



Density functional theory data (GGA-PBE) for crystalline MgRh2Br at its relaxed geometry.

Lattice parameters (Å, degrees): 8.5643 8.5643 8.5643 20.35 20.35 20.35
Atoms (fractional coordinates):
Mg  0.0000  0.0000  0.0000
Rh  0.2489  0.2489  0.2489
Rh  0.7511  0.7511  0.7511
Br  0.5000  0.5000  0.5000

## Properties
Space-group type ... R-3m (166)
Fermi-level density of states ... 0.35 states/eV/atom
E_form (uncorrected) ... 0.144 eV/atom
Magnetic moment ... 0.000 μB/atom



Density functional theory data (GGA-PBE) for crystalline MgRh2Br at its relaxed geometry.

Lattice parameters (Å, degrees): 5.5012 5.5012 5.5012 147.11 132.30 59.15
Atoms (fractional coordinates):
Mg  0.0000  0.0000  0.0000
Rh  0.4784  0.4784  0.0000
Rh  0.7257  0.2257  0.5000
Br  0.2646  0.7646  0.5000

## Properties
Space-group type ... Imm2 (44)
Fermi-level density of states ... 1.18 states/eV/atom
E_form (uncorrected) ... 0.132 eV/atom
Magnetic moment ... 0.000 μB/atom



Density functional theory data (GGA-PBE) for crystalline MgRhBr2 at its relaxed geometry.

Lattice parameters (Å, degrees): 4.8523 3.9773 4.8717 90.00 91.90 90.00
Atoms (fractional coordinates):
Mg  0.0000  0.0000  0.0000
Rh  0.5000  0.0000  0.5000
Br  0.2661  0.5000  0.7340
Br  0.7339  0.5000  0.2660

## Properties
Space-group type ... P2/m (10)
Fermi-level density of states ... 0.52 states/eV/atom
E_form (uncorrected) ... -0.133 eV/atom
Magnetic moment ... 0.101 μB/atom



Density functional theory data (GGA-PBE) for crystalline MgRh2Br at its relaxed geometry.

Lattice parameters (Å, degrees): 4.5384 4.5384 4.5384 60.00 60.00 60.00
Atoms (fractional coordinates):
Mg  0.0000  0.0000  0.0000
Rh  0.2500  0.2500  0.2500
Rh  0.7500  0.7500  0.7500
Br  0.5000  0.5000  0.5000

## Properties
Space-group type ... Fm-3m (225)
Fermi-level density of states ... 1.19 states/eV/atom
E_form (uncorrected) ... 0.308 eV/atom
Magnetic moment ... 0.394 μB/atom



Density functional theory data (GGA-PBE) for crystalline MgRhBr2 at its relaxed geometry.

Lattice parameters (Å, degrees): 4.7111 4.7111 3.5370 90.00 90.00 90.00
Atoms (fractional coordinates):
Mg  0.0000  0.0000  0.0000
Rh  0.5000  0.5000  0.0000
Br  0.0000  0.5000  0.5000
Br  0.5000  0.0000  0.5000

## Properties
Space-group type ... P4/mmm (123)
Fermi-level density of states ... 0.72 states/eV/atom
E_form (uncorrected) ... 0.003 eV/atom
Magnetic moment ... 0.000 μB/atom



Density functional theory data (GGA-PBE) for crystalline MgRhBr2 at its relaxed geometry.

Lattice parameters (Å, degrees): 4.8394 4.8394 4.8394 60.00 60.00 60.00
Atoms (fractional coordinates):
Mg  0.0000  0.0000  0.0000
Rh  0.5000  0.5000  0.5000
Br  0.2500  0.2500  0.2500
Br  0.7500  0.7500  0.7500

## Properties
Space-group type ... Fm-3m (225)
Fermi-level density of states ... 0.94 states/eV/atom
E_form (uncorrected) ... -0.041 eV/atom
Magnetic moment ... 0.259 μB/atom



Density functional theory data (GGA-PBE) for crystalline MgRh2Br at its relaxed geometry.

Lattice parameters (Å, degrees): 4.6040 4.6040 4.6040 60.00 60.00 60.00
Atoms (fractional coordinates):
Mg  0.0000  0.0000  0.0000
Rh  0.2500  0.2500  0.2500
Rh  0.5000  0.5000  0.5000
Br  0.7500  0.7500  0.7500

## Properties
Space-group type ... F-43m (216)
Fermi-level density of states ... 1.17 states/eV/atom
E_form (uncorrected) ... 0.319 eV/atom
Magnetic moment ... 0.471 μB/atom



Density functional theory data (GGA-PBE) for crystalline MgRh2Br at its relaxed geometry.

Lattice parameters (Å, degrees): 5.0610 5.0610 5.0610 133.98 133.98 67.11
Atoms (fractional coordinates):
Mg  0.0000  0.0000  0.0000
Rh  0.2500  0.7500  0.5000
Rh  0.7500  0.2500  0.5000
Br  0.5000  0.5000  0.0000

## Properties
Space-group type ... I4/mmm (139)
Fermi-level density of states ... 1.33 states/eV/atom
E_form (uncorrected) ... 0.225 eV/atom
Magnetic moment ... 0.000 μB/atom